Record 1
Density functional theory data (PBE-GGA) for a relaxed structure of CsHo2Br7.

Structure (POSCAR):
```
CsHo2Br7
1.0
4.487 -7.307 0.000
4.487 7.307 0.000
0.000 0.000 5.602
Cs Ho Br
1 2 7
direct
0.000 0.000 0.000
0.303 0.697 0.500
0.697 0.303 0.500
0.047 0.329 0.500
0.298 0.702 0.000
0.329 0.047 0.500
0.500 0.500 0.500
0.671 0.953 0.500
0.702 0.298 0.000
0.953 0.671 0.500
```

Calculated values
Its total magnetization is 0.000 μB per cell. The value obtained for the energy relative to the elements, uncorrected is -1.830 eV/atom.

***

Record 2
Density functional theory data (PBE-GGA) for a relaxed structure of CsYCuS2.

Structure (POSCAR):
```
CsYCuS2
1.0
8.056 0.000 0.000
0.000 4.789 0.000
-1.416 0.000 7.722
Cs Y Cu S
2 2 2 4
direct
0.000 0.182 0.250
0.000 0.818 0.750
0.500 0.495 0.750
0.500 0.505 0.250
0.500 0.000 0.000
0.500 0.000 0.500
0.292 0.312 0.963
0.292 0.688 0.463
0.708 0.312 0.537
0.708 0.688 0.037
```

Calculated values
Its total magnetization is 0.000 μB per cell. The value obtained for the energy relative to the elements, uncorrected is -1.107 eV/atom.

***

Record 3
Density functional theory data (PBE-GGA) for a relaxed structure of SbAu.

Structure (POSCAR):
```
SbAu
1.0
4.817 0.000 0.000
0.000 11.728 0.000
0.000 0.000 5.438
Sb Au
6 6
direct
0.250 0.090 0.133
0.250 0.410 0.133
0.250 0.750 0.480
0.750 0.250 0.520
0.750 0.590 0.867
0.750 0.910 0.867
0.250 0.250 0.752
0.250 0.518 0.655
0.250 0.982 0.655
0.750 0.018 0.345
0.750 0.482 0.345
0.750 0.750 0.248
```

Calculated values
Its total magnetization is 0.000 μB per cell. The value obtained for the energy relative to the elements, uncorrected is 0.057 eV/atom.

***

Record 4
Density functional theory data (PBE-GGA) for a relaxed structure of Mn2VRu2.

Structure (POSCAR):
```
Mn2VRu2
1.0
7.081 0.000 0.000
0.000 7.081 0.000
0.000 0.000 2.644
Mn V Ru
4 2 4
direct
0.168 0.332 0.000
0.332 0.832 0.000
0.668 0.168 0.000
0.832 0.668 0.000
0.000 0.000 0.500
0.500 0.500 0.500
0.130 0.630 0.500
0.370 0.130 0.500
0.630 0.870 0.500
0.870 0.370 0.500
```

Calculated values
For the relative energy among the computed polymorphs, the calculation gives 72 meV per atom. Its total magnetization is 1.361 μB per cell.

***

| no. | density of states at the Fermi level (states/eV per atom) |
| --- | --- |
| 1 | 0.00 |
| 2 | 0.60 |
| 3 | 0.49 |
| 4 | 1.10 |